A plane-wave DFT calculation with PBE was carried out for a relaxed structure of HfAl2V.

```
HfAl2V
1.0
-3.9346 -1.7252 1.5680
-2.5801 2.4410 2.8811
-3.9853 1.7415 -1.4146
Hf Al V
1 2 1
Cartesian
-5.2500 1.2287 1.5173
-2.6250 0.6143 0.7586
-7.8750 1.8430 2.2759
0.0000 0.0000 0.0000
```

Properties
Its crystal system is cubic. As for the polymorph energy (0 for the lowest one): 0.61 eV per formula unit. As for the space-group type: No. 225.

A plane-wave DFT calculation with PBE was carried out for a relaxed structure of AcLaZn2Ga2.

```
AcLaZn2Ga2
1.0
4.5827 0.0000 0.0000
-2.2913 3.9687 0.0000
0.0000 0.0000 8.1394
Ac La Zn Ga
1 1 2 2
Cartesian
0.0000 0.0000 0.0000
0.0000 0.0000 4.0697
2.2913 1.3229 5.8834
0.0000 2.6458 2.2560
2.2913 1.3229 2.2120
0.0000 2.6458 5.9274
```

Properties
Its crystal system is trigonal. As for the space-group type: No. 164. The calculated total energy comes out at -20.7 eV for the cell shown.

A plane-wave DFT calculation with PBE was carried out for a relaxed structure of Rb2Cu2AgI6.

```
Rb2Cu2AgI6
1.0
-5.7167 -0.9444 -5.2767
8.0012 -1.6966 -2.5452
-3.6495 -6.1108 5.0474
Rb Cu Ag I
2 2 1 6
Cartesian
-1.4440 -2.6836 -3.7749
0.0790 -6.0682 1.0004
-0.9837 -6.9109 -3.5169
-0.3812 -1.8408 0.7425
-4.6831 -3.5276 -0.1146
-2.5666 -5.7195 -2.0152
5.1684 -3.0404 -2.1939
-3.7226 -5.2471 2.0139
-6.5333 -5.7114 -0.5806
2.3576 -3.5047 -4.7883
1.2017 -3.0323 -0.7592
```

Properties
Its crystal system is monoclinic. As for the energy relative to the elements, uncorrected: -0.62 eV/atom. As for the space-group type: No. 12.

A plane-wave DFT calculation with PBE was carried out for a relaxed structure of GaCoI3.

```
GaCoI3
1.0
5.6497 0.0000 0.0000
0.0000 5.6497 0.0000
0.0000 0.0000 5.6497
I Co Ga
3 1 1
Cartesian
0.0000 2.8249 0.0000
0.0000 0.0000 2.8249
2.8249 0.0000 0.0000
2.8249 2.8249 2.8249
0.0000 0.0000 0.0000
```

Properties
Its crystal system is cubic. As for the polymorph energy (0 for the lowest one): 2.69 eV per formula unit. As for the energy relative to the elements, uncorrected: 0.62 eV/atom. As for the space-group type: No. 221.

A plane-wave DFT calculation with PBE was carried out for a relaxed structure of Er3CdIn3Ru2.

```
Er3CdIn3Ru2
1.0
3.7619 0.0000 0.0000
0.0000 7.8163 0.0000
0.0000 -3.9081 6.7691
Er Cd In Ru
3 1 3 2
Cartesian
0.0000 2.3300 4.0356
0.0000 -1.5782 2.7335
0.0000 3.1564 0.0000
0.0000 0.0000 0.0000
1.8810 5.5987 0.0000
1.8810 -2.7993 4.8486
1.8810 1.1088 1.9205
1.8810 3.9081 2.2564
1.8810 0.0000 4.5127
```

Properties
Its crystal system is hexagonal. As for the space-group type: No. 189. The calculated total energy comes out at -44.4 eV for the cell shown.

A plane-wave DFT calculation with PBE was carried out for a relaxed structure of Cs2YPb2.

```
Cs2YPb2
1.0
-6.7295 -6.4463 -5.8359
5.5954 -8.8589 3.3334
-2.1345 -0.2981 2.7907
Pb Cs Y
4 4 2
Cartesian
1.5263 -7.3336 2.6115
-1.0552 -11.7968 0.1602
-4.7949 -8.2698 -2.3234
-2.2134 -3.8065 0.1279
2.3646 -10.2743 0.7110
-2.4760 -11.1607 -3.0862
-3.4987 -5.0309 -3.2135
1.3420 -4.1445 0.5837
0.0000 0.0000 0.0000
-0.5670 -7.6526 -1.2513
```

Properties
Its crystal system is tetragonal. As for the polymorph energy (0 for the lowest one): 1.70 eV per formula unit. As for the space-group type: No. 127.

A plane-wave DFT calculation with PBE was carried out for a relaxed structure of TmBi2S5.

```
TmBi2S5
1.0
-0.8892 -5.0131 -1.8469
2.8132 -0.0391 6.6930
-11.9397 0.2683 5.0201
Tm Bi S
2 4 10
Cartesian
-8.0327 -3.7742 6.1706
-1.9830 -1.0097 3.6955
-4.0631 -4.2146 5.4550
0.6050 -4.3195 3.4923
-5.9526 -0.5693 4.4111
-10.6207 -0.4644 6.3739
-8.6991 -4.5555 8.6124
-5.8527 -4.6195 7.4156
-3.6271 -1.4894 5.7891
0.6430 -1.5854 3.9937
-2.1939 -3.7674 3.3413
-7.8217 -1.0165 6.5249
-6.3885 -3.2945 4.0771
-10.6587 -3.1985 5.8725
-1.3166 -0.2284 1.2537
-4.1630 -0.1644 2.4505
```

Properties
Its crystal system is orthorhombic. As for the energy relative to the elements, uncorrected: -0.73 eV/atom. As for the space-group type: No. 63.

A plane-wave DFT calculation with PBE was carried out for a relaxed structure of CsLiOs.

```
CsLiOs
1.0
12.2161 0.0000 0.0153
0.0000 4.2778 0.0000
-0.0734 0.0000 7.4177
Cs Li Os
4 4 4
Cartesian
2.4893 0.0000 1.2035
9.6534 0.0000 6.2295
2.4526 2.1389 4.9124
9.6901 2.1389 2.5206
7.2860 0.0000 3.7253
4.8567 0.0000 3.7076
7.3227 2.1389 0.0165
4.8200 2.1389 7.4165
6.2677 0.0000 1.2430
5.8750 0.0000 6.1900
6.2310 2.1389 4.9519
5.9117 2.1389 2.4811
```

Properties
Its crystal system is monoclinic. As for the polymorph energy (0 for the lowest one): 0.00 eV per formula unit. As for the space-group type: No. 12.

A plane-wave DFT calculation with PBE was carried out for a relaxed structure of Sr2DyWN4.

```
Sr2DyWN4
1.0
5.6452 0.0000 0.0000
0.0000 6.9803 0.0000
0.0000 0.0000 7.6576
Sr Dy W N
4 2 2 8
Cartesian
2.6520 2.3631 1.8850
2.6520 2.3631 5.7726
5.4746 4.6172 5.7139
5.4746 4.6172 1.9438
5.5485 1.1183 3.8288
2.7259 5.8620 0.0000
2.8386 5.9339 3.8288
0.0160 1.0463 0.0000
1.8838 0.9099 0.0000
4.7065 6.0704 3.8288
2.1529 0.7393 3.8288
4.9756 6.2409 0.0000
2.4264 5.0080 5.4464
5.2490 1.9723 1.6176
5.2490 1.9723 6.0400
2.4264 5.0080 2.2112
```

Properties
Its crystal system is orthorhombic. As for the energy relative to the elements, uncorrected: -1.00 eV/atom. As for the space-group type: No. 31.

A plane-wave DFT calculation with PBE was carried out for a relaxed structure of Sc2AgSe.

```
Sc2AgSe
1.0
-3.1630 4.7328 4.9339
-2.5696 0.2930 7.0752
5.1068 -1.7528 -5.2531
Ag Sc Se
1 2 1
Cartesian
-0.4369 0.7653 4.4840
-5.5058 4.8269 11.5340
-0.1619 2.4840 2.2155
-3.1201 2.7354 6.5363
```

Properties
Its crystal system is orthorhombic. As for the energy relative to the elements, uncorrected: -0.69 eV/atom. As for the space-group type: No. 44.

A plane-wave DFT calculation with PBE was carried out for a relaxed structure of Cu2SnPd5.

```
Cu2SnPd5
1.0
6.6256 0.0000 0.0000
0.0000 6.6256 0.0000
-3.3128 -3.3128 5.6760
Cu Sn Pd
4 2 10
Cartesian
0.9101 2.4028 0.0000
4.2229 0.9101 0.0000
2.4028 5.7156 0.0000
5.7156 4.2229 0.0000
3.3128 3.3128 2.8380
0.0000 0.0000 2.8380
1.0158 2.2970 3.9284
4.3286 -1.0158 1.7475
0.0000 0.0000 0.0000
3.3128 3.3128 0.0000
-1.0158 4.3286 3.9284
2.2970 -1.0158 3.9284
4.3286 1.0158 3.9284
1.0158 4.3286 1.7475
-1.0158 2.2970 1.7475
2.2970 1.0158 1.7475
```

Properties
Its crystal system is tetragonal. As for the polymorph energy (0 for the lowest one): 0.26 eV per formula unit. As for the space-group type: No. 140.

A plane-wave DFT calculation with PBE was carried out for a relaxed structure of MnFeIr2.

```
MnFeIr2
1.0
-2.5199 -3.4772 -1.4543
2.3046 -2.0117 -3.3463
1.2997 1.1318 4.1907
Fe Ir Mn
1 2 1
Cartesian
1.7483 -1.8122 -0.7780
0.0000 0.0000 0.0000
-0.1076 -2.7445 -2.4003
-0.6639 -2.5449 0.1680
```

Properties
Its crystal system is orthorhombic. As for the polymorph energy (0 for the lowest one): 0.45 eV per formula unit. As for the space-group type: No. 69.